(1)
PBE Tb4SI5, optimized geometry; symmetry = No. 12; electronic total energy = -4.386 eV/atom; volume = 329.3 Å³ per cell; formation energy (no corrections) = -1.347 eV per atom
1.0
-3.7734 -0.4679 -1.4975
3.3207 -3.5812 -7.2486
0.5457 -7.2118 6.4547
Tb S I
4 1 5
Cartesian
2.1418 -8.6887 -2.6819
2.6448 -2.8884 -5.7619
-2.0489 -2.5723 0.3906
-2.5518 -8.3726 3.4705
-1.8867 -0.2340 -0.7487
-0.5853 -7.6237 -1.7189
-2.1665 -5.7560 1.6819
2.2595 -5.5051 -3.9732
-0.2264 -2.0246 -4.3730
0.6782 -3.6374 -0.5724

=====

(2)
PBE TbS8I2, optimized geometry; symmetry = No. 12; electronic total energy = -3.792 eV/atom; volume = 424.2 Å³ per cell; formation energy (no corrections) = -0.087 eV per atom
1.0
-10.6429 -1.2210 4.8958
7.8689 -4.6351 0.7415
8.4650 0.8432 3.4038
Tb S I
1 8 2
Cartesian
0.0000 0.0000 0.0000
6.0287 -0.1612 2.3538
-0.0520 -2.2256 7.9634
-4.3494 -2.0804 5.2550
10.0403 -2.9325 3.7861
5.7429 -2.7873 1.0776
-0.3377 -4.8517 6.6873
6.3432 -2.2227 3.1533
-0.6523 -2.7902 5.8877
-1.7012 -0.9106 2.2546
7.3921 -4.1024 6.7864

=====

(3)
PBE Tb2SI2, optimized geometry; symmetry = No. 12; electronic total energy = -4.928 eV/atom; volume = 170.1 Å³ per cell; formation energy (no corrections) = -1.630 eV per atom
1.0
4.0253 0.0000 0.7515
1.9565 3.5375 0.6766
-0.1410 -0.1076 11.9113
Tb S I
2 1 2
Cartesian
3.1959 0.6553 5.1937
2.6448 2.7746 8.1457
0.9077 1.7149 6.2940
3.5353 3.1903 3.3762
2.3055 0.2396 9.9633